# ZnCuAu2

A relaxed structure of ZnCuAu2 (GGA-PBEsol, Alexandria).

Lattice parameters (Å, degrees): 8.7047 2.8820 4.8820 90.00 101.41 90.00
Closest atoms and distances in Å follow each position.
Space group C2/m (No. 12)
Asymmetric unit:
Zn 0.0000 0.0000 0.0000  6 Au 2.70, 4 Cu 2.83, 2 Zn 2.88
Cu 0.0000 0.5000 0.5000  6 Au 2.68-2.70, 4 Zn 2.83, 2 Cu 2.88
Au 0.2489 0.0000 0.7477  3 Cu 2.68-2.70, 3 Zn 2.70, 6 Au 2.82-2.88

## Properties
M_tot = 0.000 μB per cell
energy of formation = -31 kJ/mol of formula units
V = 15.007 Å³ per atom

---

# AlAgCl2

A relaxed structure of AlAgCl2 (GGA-PBEsol, Alexandria).

Lattice parameters (Å, degrees): 3.8524 3.8524 11.4280 90.00 90.00 90.00
Closest atoms and distances in Å follow each position.
Space group I-4m2 (No. 119)
Asymmetric unit:
Al 0.0000 0.0000 0.0000  4 Cl 2.72
Ag 0.0000 0.5000 0.7500  4 Cl 2.72
Cl 0.0000 0.0000 0.5000  4 Al 2.72
Cl 0.0000 0.5000 0.2500  4 Ag 2.72

## Properties
M_tot = 0.000 μB per cell
uncorrected formation energy = -212 meV/atom
V = 21.200 Å³ per atom

---

# CaMg2Tc

A relaxed structure of CaMg2Tc (GGA-PBEsol, Alexandria).

Lattice parameters (Å, degrees): 5.9002 10.0380 2.8833 90.00 110.62 90.00
Closest atoms and distances in Å follow each position.
Space group C2/m (No. 12)
Asymmetric unit:
Ca 0.0000 0.0000 0.0000  2 Ca 2.88, 2 Tc 2.95, 4 Mg 3.01
Mg 0.2500 0.2500 0.5000  4 Mg 2.88-2.95, 2 Ca 3.01, 2 Tc 3.01
Tc 0.0000 0.5000 0.0000  2 Tc 2.88, 2 Ca 2.95, 4 Mg 3.01

## Properties
M_tot = 0.000 μB per cell
energy of formation = 187 kJ/mol of formula units
V = 19.978 Å³ per atom

---

# Sm2Ga9Ir3

A relaxed structure of Sm2Ga9Ir3 (GGA-PBEsol, Alexandria).

Lattice parameters (Å, degrees): 12.9820 7.5393 9.4387 90.00 90.00 90.00
Closest atoms and distances in Å follow each position.
Space group Cmcm (No. 63)
Asymmetric unit:
Sm 0.1638 0.1665 0.2500  11 Ga 3.00-3.13
Ga 0.0000 0.1306 0.7500  2 Ir 2.56, 6 Ga 2.70-2.72
Ga 0.0000 0.3334 0.0631  3 Ir 2.58-2.62, 5 Ga 2.78-2.84
Ga 0.1031 0.4423 0.7500  2 Ir 2.56, 6 Ga 2.68-2.79
Ga 0.1668 0.1680 0.5788  3 Ir 2.56-2.62, 3 Ga 2.72-2.84
Ir 0.0000 0.0000 0.0000  8 Ga 2.56-2.62
Ir 0.1712 0.5000 0.0000  8 Ga 2.56-2.62

## Properties
M_tot = 0.000 μB per cell
energy of formation = -984 kJ/mol of formula units
V = 16.497 Å³ per atom

---

# CuRuNO2

A relaxed structure of CuRuNO2 (GGA-PBEsol, Alexandria).

Lattice parameters (Å, degrees): 3.8042 3.8042 3.7249 90.00 90.00 90.00
Closest atoms and distances in Å follow each position.
Space group P4/mmm (No. 123)
Asymmetric unit:
Cu 0.0000 0.0000 0.0000  8 O 2.66, 4 N 2.69
Ru 0.5000 0.5000 0.5000  2 N 1.86, 4 O 1.90
N 0.5000 0.5000 0.0000  2 Ru 1.86
O 0.0000 0.5000 0.5000  2 Ru 1.90

## Properties
M_tot = 0.000 μB per cell
uncorrected formation energy = 180 meV/atom
V = 10.781 Å³ per atom

---

# LiTa2Se

A relaxed structure of LiTa2Se (GGA-PBEsol, Alexandria).

Lattice parameters (Å, degrees): 3.1343 4.5972 8.8761 90.00 90.00 90.00
Closest atoms and distances in Å follow each position.
Space group Imm2 (No. 44)
Asymmetric unit:
Li 0.0000 0.0000 0.0000  2 Se 2.46
Ta 0.0000 0.0000 0.4485  2 Se 2.61, 4 Li 2.82
Ta 0.0000 0.5000 0.2282  4 Se 2.79, 4 Li 2.88-3.06, 4 Ta 2.94-3.02
Se 0.0000 0.5000 0.7130  2 Li 2.46, 2 Ta 2.61

## Properties
M_tot = 0.001 μB per cell
uncorrected formation energy = 104 meV/atom
V = 15.987 Å³ per atom

---

# HfBe3Ag

A relaxed structure of HfBe3Ag (GGA-PBEsol, Alexandria).

Lattice parameters (Å, degrees): 4.1636 4.1636 4.1636 90.00 90.00 90.00
Closest atoms and distances in Å follow each position.
Space group Pm-3m (No. 221)
Asymmetric unit:
Hf 0.0000 0.0000 0.0000  12 Be 2.94
Be 0.0000 0.5000 0.5000  2 Ag 2.08
Ag 0.5000 0.5000 0.5000  6 Be 2.08

## Properties
M_tot = 0.000 μB per cell
energy of formation = 286 kJ/mol of formula units
V = 14.435 Å³ per atom

---

# BRuN3

A relaxed structure of BRuN3 (GGA-PBEsol, Alexandria).

Lattice parameters (Å, degrees): 3.3411 3.3411 3.3411 90.00 90.00 90.00
Closest atoms and distances in Å follow each position.
Space group Pm-3m (No. 221)
Asymmetric unit:
B 0.0000 0.0000 0.0000  6 N 1.67
Ru 0.5000 0.5000 0.5000  12 N 2.36
N 0.0000 0.0000 0.5000  2 B 1.67

## Properties
M_tot = 0.001 μB per cell
uncorrected formation energy = 1284 meV/atom
V = 7.459 Å³ per atom